Entry 1:
## MnPtCl (GGA-PBE)

Data for an optimized crystal structure of MnPtCl.

```
data_MnPtCl
_symmetry_space_group_name_H-M 'F m m 2'
_symmetry_Int_Tables_number 42
_symmetry_space_group_name_Hall 'F 2 -2'
_cell_length_a 3.605
_cell_length_b 4.841
_cell_length_c 12.673
_cell_angle_alpha 90.00
_cell_angle_beta 90.00
_cell_angle_gamma 90.00
loop_
_atom_site_label
_atom_site_fract_x
_atom_site_fract_y
_atom_site_fract_z
_atom_site_occupancy
Mn1 0.000 0.000 0.000 1
Pt1 0.000 0.000 0.638 1
Cl1 0.000 0.000 0.369 1
```

Calculated values
Formation energy (no corrections) in eV/atom: -0.13
Total DFT energy (no corrections) in hartree per atom: -0.21362


Entry 2:
## Mn2PtCl (GGA-PBE)

Data for an optimized crystal structure of Mn2PtCl.

```
data_Mn2PtCl
_symmetry_space_group_name_H-M 'I m m m'
_symmetry_Int_Tables_number 71
_symmetry_space_group_name_Hall '-I 2 2'
_cell_length_a 3.681
_cell_length_b 5.293
_cell_length_c 7.161
_cell_angle_alpha 90.00
_cell_angle_beta 90.00
_cell_angle_gamma 90.00
loop_
_atom_site_label
_atom_site_fract_x
_atom_site_fract_y
_atom_site_fract_z
_atom_site_occupancy
Mn1 0.000 0.000 0.239 1
Pt1 0.000 0.500 0.000 1
Cl1 0.000 0.500 0.500 1
```

Calculated values
Formation energy (no corrections) in eV/atom: 0.19
Total DFT energy (no corrections) in hartree per atom: -0.23403


Entry 3:
## MnPtCl2 (GGA-PBE)

Data for an optimized crystal structure of MnPtCl2.

```
data_MnPtCl2
_symmetry_space_group_name_H-M 'I -4 2 d'
_symmetry_Int_Tables_number 122
_symmetry_space_group_name_Hall 'I -4 2bw'
_cell_length_a 5.682
_cell_length_b 5.682
_cell_length_c 9.504
_cell_angle_alpha 90.00
_cell_angle_beta 90.00
_cell_angle_gamma 90.00
loop_
_atom_site_label
_atom_site_fract_x
_atom_site_fract_y
_atom_site_fract_z
_atom_site_occupancy
Mn1 0.000 0.000 0.000 1
Pt1 0.000 0.000 0.500 1
Cl1 0.202 0.250 0.125 1
```

Calculated values
Formation energy (no corrections) in eV/atom: 0.60
Total DFT energy (no corrections) in hartree per atom: -0.15150


Entry 4:
## MnPt2Cl (GGA-PBE)

Data for an optimized crystal structure of MnPt2Cl.

```
data_MnPt2Cl
_symmetry_space_group_name_H-M 'P 4/m m m'
_symmetry_Int_Tables_number 123
_symmetry_space_group_name_Hall '-P 4 2'
_cell_length_a 3.685
_cell_length_b 3.685
_cell_length_c 5.322
_cell_angle_alpha 90.00
_cell_angle_beta 90.00
_cell_angle_gamma 90.00
loop_
_atom_site_label
_atom_site_fract_x
_atom_site_fract_y
_atom_site_fract_z
_atom_site_occupancy
Mn1 0.000 0.000 0.000 1
Pt1 0.000 0.500 0.500 1
Cl1 0.500 0.500 0.000 1
```

Calculated values
Formation energy (no corrections) in eV/atom: 0.26
Total DFT energy (no corrections) in hartree per atom: -0.20274


Number 1: excess energy over the best structure of this formula in the dataset 0.093 eV/atom. Number 2: excess energy over the best structure of this formula in the dataset 0.355 eV/atom. Number 3: excess energy over the best structure of this formula in the dataset 1.011 eV/atom. Number 4: excess energy over the best structure of this formula in the dataset 0.353 eV/atom.